Here is LaCoRu2 after structural relaxation from the Alexandria database. Energies are from GGA-PBE.

space-group type	No. 6
energy of formation	267	meV/atom
energy above the most stable polymorph in this dataset	225	meV per atom
M_tot	0.28	μB per atom

Cell lengths 2.967, 4.257, 5.701 Å; angles 90.00, 104.97, 90.00 degrees
Fractional coordinates of all 4 atoms:
La 0.000 0.000 0.000
Co 0.369 0.500 0.736
Ru 0.257 0.000 0.508
Ru 0.684 0.500 0.363

---

Here is La2CoRu after structural relaxation from the Alexandria database. Energies are from GGA-PBE.

space-group type	No. 44
energy of formation	-9	meV/atom
M_tot	0.26	μB per atom

Cell lengths 3.615, 4.342, 11.773 Å; angles 90.00, 90.00, 90.00 degrees
Fractional coordinates of all 8 atoms:
La 0.000 0.000 0.000
La 0.000 0.500 0.221
La 0.500 0.000 0.721
La 0.500 0.500 0.500
Co 0.000 0.500 0.789
Co 0.500 0.000 0.289
Ru 0.000 0.000 0.429
Ru 0.500 0.500 0.929

---

Here is La2CoRu after structural relaxation from the Alexandria database. Energies are from GGA-PBE.

space-group type	No. 11
energy of formation	-123	meV/atom
M_tot	0.14	μB per atom

Cell lengths 5.515, 4.369, 8.371 Å; angles 90.00, 105.10, 90.00 degrees
Fractional coordinates of all 8 atoms:
La 0.213 0.250 0.415
La 0.276 0.750 0.063
La 0.724 0.250 0.937
La 0.787 0.750 0.585
Co 0.342 0.750 0.714
Co 0.658 0.250 0.286
Ru 0.214 0.250 0.764
Ru 0.786 0.750 0.236

---

Here is La8CoRu3 after structural relaxation from the Alexandria database. Energies are from GGA-PBE.

space-group type	No. 8
energy of formation	-167	meV/atom
M_tot	0.00	μB per atom

Cell lengths 9.026, 9.026, 9.073 Å; angles 107.33, 107.33, 36.20 degrees
Fractional coordinates of all 12 atoms:
La 0.000 0.000 0.000
La 0.106 0.106 0.652
La 0.222 0.222 0.306
La 0.324 0.324 0.974
La 0.435 0.435 0.657
La 0.537 0.537 0.324
La 0.654 0.654 0.986
La 0.763 0.763 0.631
Co 0.174 0.174 0.013
Ru 0.275 0.275 0.609
Ru 0.483 0.483 0.017
Ru 0.586 0.586 0.622